VASP calculation (PBE) on a relaxed LiNbMoRh2 crystal.

a = 4.1010 Å, b = 4.1010 Å, c = 4.3171 Å
α = 90.00°, β = 90.00°, γ = 90.00°
Fractional positions:
1 Li 0.0000 0.0000 0.0000
2 Nb 0.5000 0.5000 0.5000
3 Mo 0.0000 0.0000 0.5000
4 Rh 0.0000 0.5000 0.0000
5 Rh 0.5000 0.0000 0.0000

## Properties
E: -35.07 eV/cell
Symmetry: P4/mmm (123)
Formation enthalpy at 0 K: 11.3 kcal/mol of atoms